1.
Crystalline K2Ba2TaO6 at its relaxed geometry. Source: Alexandria, functional PBE.

a b c (Å): 6.427 6.427 6.641
angles (deg): 97.65 97.65 118.56
Site moments in Bohr magnetons follow the coordinates.
Atoms (fractional coordinates):
O (0.797, 0.797, 0.683)  0.11
K (0.852, 0.148, 0.000)  0.00
O (0.040, 0.307, 0.675)  0.18
Ba (0.339, 0.661, 0.500)  0.00
Ta (0.000, 0.000, 0.500)  -0.05
O (0.693, 0.960, 0.325)  0.18
O (0.960, 0.693, 0.325)  0.18
O (0.203, 0.203, 0.317)  0.11
Ba (0.661, 0.339, 0.500)  0.00
O (0.307, 0.040, 0.675)  0.18
K (0.148, 0.852, 0.000)  0.00

Properties
As for the symmetry: No. 12. As for the density: 4.50 g/cm3. For the density of states at the Fermi level, the calculation gives 0.621 states/eV per atom. The value obtained for the final energy is -6.59 eV/atom. The total moment comes out at 1.10 μB/cell. The calculation puts the formation energy (no corrections) at -2.264 eV per atom.

---

2.
Crystalline KBa3Ta2O8 at its relaxed geometry. Source: Alexandria, functional PBE.

a b c (Å): 6.156 6.156 9.114
angles (deg): 90.00 90.00 120.00
Atoms (fractional coordinates):
O (0.167, 0.833, 0.247)
O (0.335, 0.167, 0.753)
O (0.665, 0.833, 0.247)
Ba (0.333, 0.667, 0.706)
Ba (0.667, 0.333, 0.294)
K (0.000, 0.000, 0.500)
O (0.167, 0.335, 0.247)
O (0.833, 0.665, 0.753)
O (0.833, 0.167, 0.753)
Ta (0.333, 0.667, 0.181)
Ba (0.000, 0.000, 0.000)
O (0.667, 0.333, 0.025)
Ta (0.667, 0.333, 0.819)
O (0.333, 0.667, 0.975)

Properties
As for the symmetry: No. 164. As for the density: 5.22 g/cm3. For the density of states at the Fermi level, the calculation gives 0.135 states/eV per atom. The value obtained for the final energy is -7.64 eV/atom. The total moment comes out at 0.37 μB/cell. The calculation puts the formation energy (no corrections) at -2.621 eV per atom.

---

3.
Crystalline KBa2TaO5 at its relaxed geometry. Source: Alexandria, functional PBE.

a b c (Å): 4.089 6.522 7.238
angles (deg): 116.78 106.41 90.00
Atoms (fractional coordinates):
O (0.379, 0.668, 0.759)
Ba (0.224, 0.224, 0.449)
O (0.000, 0.000, 0.000)
O (0.621, 0.909, 0.241)
K (0.000, 0.500, 0.000)
O (0.621, 0.332, 0.241)
Ta (0.500, 0.000, 0.000)
O (0.379, 0.091, 0.759)
Ba (0.776, 0.776, 0.551)

Properties
As for the symmetry: No. 71. As for the density: 5.84 g/cm3. For the density of states at the Fermi level, the calculation gives 0.000 states/eV per atom. The value obtained for the final energy is -7.26 eV/atom. The total moment comes out at 0.00 μB/cell. The calculation puts the formation energy (no corrections) at -2.639 eV per atom.

---

4.
Crystalline KBa2TcO6 at its relaxed geometry. Source: Alexandria, functional PBE.

a b c (Å): 5.891 5.891 13.077
angles (deg): 76.98 76.98 60.00
Atoms (fractional coordinates):
O (0.183, 0.183, 0.914)
Tc (0.500, 0.500, 0.500)
O (0.624, 0.165, 0.587)
Ba (0.308, 0.308, 0.075)
Tc (0.000, 0.000, 0.000)
O (0.376, 0.376, 0.413)
O (0.721, 0.183, 0.914)
K (0.413, 0.413, 0.762)
O (0.835, 0.376, 0.413)
O (0.183, 0.721, 0.914)
O (0.376, 0.835, 0.413)
Ba (0.692, 0.692, 0.925)
O (0.817, 0.279, 0.086)
Ba (0.143, 0.143, 0.571)
O (0.817, 0.817, 0.086)
O (0.279, 0.817, 0.086)
Ba (0.857, 0.857, 0.429)
O (0.165, 0.624, 0.587)
K (0.587, 0.587, 0.238)
O (0.624, 0.624, 0.587)

Properties
As for the symmetry: No. 166. As for the density: 4.44 g/cm3. The value obtained for the final energy is -6.47 eV/atom. The total moment comes out at 0.00 μB/cell. The calculation puts the formation energy (no corrections) at -1.963 eV per atom.